Entry 1:
# TaTl2Pt3O12 (PBE-GGA, optimized geometry)
data_TaTl2Pt3O12
_chemical_formula_sum 'Ta3 Tl6 Pt9 O36'
_symmetry_space_group_name_H-M 'R -3 m'
_symmetry_Int_Tables_number 166
_symmetry_space_group_name_Hall '-R 3 2"'
_cell_length_a 7.2300
_cell_length_b 7.2300
_cell_length_c 18.3721
_cell_angle_alpha 90.00
_cell_angle_beta 90.00
_cell_angle_gamma 120.00
loop_
_atom_site_label
_atom_site_type_symbol
_atom_site_fract_x
_atom_site_fract_y
_atom_site_fract_z
Ta1 Ta 0.0000 0.0000 0.0000
Tl1 Tl 0.0000 0.0000 0.3063
Pt1 Pt 0.0000 0.5000 0.5000
O1 O 0.0737 0.5368 0.8672
O2 O 0.0753 0.5377 0.6045
# E_form (uncorrected) in eV/atom: -0.83

Entry 2:
# LaHfAu3 (PBE-GGA, optimized geometry)
data_LaHfAu3
_chemical_formula_sum 'La1 Hf1 Au3'
_symmetry_space_group_name_H-M 'P m -3 m'
_symmetry_Int_Tables_number 221
_symmetry_space_group_name_Hall '-P 4 2 3'
_cell_length_a 5.176
_cell_length_b 5.176
_cell_length_c 5.176
_cell_angle_alpha 90.00
_cell_angle_beta 90.00
_cell_angle_gamma 90.00
loop_
_atom_site_label
_atom_site_type_symbol
_atom_site_fract_x
_atom_site_fract_y
_atom_site_fract_z
La1 La 0.000 0.000 0.000
Hf1 Hf 0.500 0.500 0.500
Au1 Au 0.000 0.500 0.500
# Energy of formation from the pure elements in eV/atom: -0.128
# Excess energy over the best structure of this formula in the dataset in meV/atom: 0

Entry 3:
# RbCaNb (PBE-GGA, optimized geometry)
data_RbCaNb
_chemical_formula_sum 'Rb2 Ca2 Nb2'
_symmetry_space_group_name_H-M 'P 1 21/m 1'
_symmetry_Int_Tables_number 11
_cell_length_a 3.702
_cell_length_b 3.702
_cell_length_c 17.186
_cell_angle_alpha 90.00
_cell_angle_beta 90.40
_cell_angle_gamma 90.00
loop_
_symmetry_equiv_pos_as_xyz
'x,y,z'
'-x,-y,-z'
'-x,y+1/2,-z'
'x,-y+1/2,z'
loop_
_atom_site_label
_atom_site_type_symbol
_atom_site_fract_x
_atom_site_fract_y
_atom_site_fract_z
Rb1 Rb 0.238 0.250 0.127
Ca1 Ca 0.255 0.250 0.656
Nb1 Nb 0.249 0.250 0.471
# Energy of formation from the pure elements in eV/atom: 0.345
# Excess energy over the best structure of this formula in the dataset in meV/atom: 0

Entry 4:
# TlCuGe (PBE-GGA, optimized geometry)
data_TlCuGe
_chemical_formula_sum 'Tl2 Cu2 Ge2'
_symmetry_space_group_name_H-M 'P 63/m m c'
_symmetry_Int_Tables_number 194
_symmetry_space_group_name_Hall '-P 6c 2c'
_cell_length_a 4.9971
_cell_length_b 4.9971
_cell_length_c 5.7067
_cell_angle_alpha 90.00
_cell_angle_beta 90.00
_cell_angle_gamma 120.00
loop_
_atom_site_label
_atom_site_type_symbol
_atom_site_fract_x
_atom_site_fract_y
_atom_site_fract_z
Tl1 Tl 0.3333 0.6667 0.2500
Cu1 Cu 0.0000 0.0000 0.0000
Ge1 Ge 0.3333 0.6667 0.7500
# Energy of formation from the pure elements in eV/atom: 0.525

Number 1: magnetic moment 0.57 μB/f.u.. Number 2: magnetic moment 0.00 μB/f.u.. Number 3: magnetic moment 0.00 μB/f.u.. Number 4: magnetic moment 0.00 μB/f.u..